Sm2ScSn2 PBE optimized geometry; energy above the lowest structure with this stoichiometry = 0.0432 eV per atom; D(E_F) = 0.882 states/eV/atom; VASP energy = -5.417 eV per atom; formation energy = -0.66 eV per atom; space group = Immm; magnetic moment = 0.0 μB/f.u.
1.0
-2.293 3.295 4.689
2.293 -3.295 4.689
2.293 3.295 -4.689
Sm Sc Sn
2 1 2
direct
0.200 0.200 0.000
0.800 0.800 0.000
0.500 0.000 0.500
0.226 0.500 0.726
0.774 0.500 0.274